# 1
Computed, not measured: a relaxed Tm2PaAs3 crystal at the GGA-PBE level of DFT.

Lattice parameters (Å, degrees): 4.0771 5.7538 12.1851 90.00 90.00 90.00
Space group Immm (No. 71)
Asymmetric unit:
Tm: 0.0000 0.0000 0.1670 (multiplicity 4)
Pa: 0.0000 0.0000 0.5000 (multiplicity 2)
As: 0.0000 0.5000 0.1666 (multiplicity 4)
As: 0.0000 0.5000 0.5000 (multiplicity 2)


# 2
Computed, not measured: a relaxed TmUPa2As4 crystal at the GGA-PBE level of DFT.

Lattice parameters (Å, degrees): 7.0489 4.0720 7.1015 90.00 109.31 90.00
Space group P2/m (No. 10)
Asymmetric unit:
Tm: 0.0000 0.0000 0.0000 (multiplicity 1)
U: 0.0000 0.5000 0.5000 (multiplicity 1)
Pa: 0.5000 0.0000 0.5000 (multiplicity 1)
Pa: 0.5000 0.5000 0.0000 (multiplicity 1)
As: 0.2474 0.5000 0.2476 (multiplicity 2)
As: 0.2479 0.0000 0.7515 (multiplicity 2)


# 3
Computed, not measured: a relaxed Y4Tm3PaAs8 crystal at the GGA-PBE level of DFT.

Lattice parameters (Å, degrees): 8.1832 8.1832 20.0696 90.00 90.00 120.00
Space group R-3m (No. 166, hexagonal axes)
Asymmetric unit:
Y: 0.0000 0.0000 0.0000 (multiplicity 3)
Y: 0.0000 0.5000 0.0000 (multiplicity 9)
Tm: 0.0000 0.5000 0.5000 (multiplicity 9)
Pa: 0.0000 0.0000 0.5000 (multiplicity 3)
As: 0.0000 0.0000 0.2485 (multiplicity 6)
As: 0.0012 0.5006 0.2482 (multiplicity 18)


no.,formation enthalpy at 0 K (eV per atom),mass density (g/cm³)
1,-1.34,9.22
2,-1.07,10.09
3,-1.48,7.25